# 1
The following is a DFT calculation (PBE) of a geometry-optimized VCdCo4 structure.

abc: 4.767 4.767 4.767
angles: 60.00 60.00 60.00
Element x y z (fractional)
V: 0.000 0.000 0.000
Cd: 0.750 0.750 0.750
Co: 0.375 0.375 0.375
Co: 0.375 0.375 0.875
Co: 0.375 0.875 0.375
Co: 0.875 0.375 0.375

Results
calculated formation energy: 10 kJ/mol of atoms
E: -6.3007 eV/atom
theoretical density: 8.65 g cm⁻³
size of the total moment: 3.4 μB/f.u.

---

# 2
The following is a DFT calculation (PBE) of a geometry-optimized Cd2CoW structure.

abc: 2.911 2.908 8.014
angles: 90.00 90.18 90.00
Element x y z (fractional)
Cd: 0.000 0.000 0.000
Cd: 0.496 0.500 0.307
Co: 0.499 0.500 0.761
W: 0.998 0.000 0.584

Results
energy relative to the lowest polymorph listed for this composition: 0.0 kJ/mol of formula units
calculated formation energy: 24 kJ/mol of atoms
E: -5.2261 eV/atom
theoretical density: 11.45 g cm⁻³
size of the total moment: 0.6 μB/f.u.

---

# 3
The following is a DFT calculation (PBE) of a geometry-optimized Cd2CoW structure.

abc: 5.269 5.269 2.721
angles: 90.00 90.00 115.80
Element x y z (fractional)
Cd: 0.000 0.500 0.000
Cd: 0.500 0.000 0.000
Co: 0.000 0.000 0.500
W: 0.500 0.500 0.500

Results
energy relative to the lowest polymorph listed for this composition: 148.5 kJ/mol of formula units
calculated formation energy: 61 kJ/mol of atoms
E: -4.8414 eV/atom
theoretical density: 11.42 g cm⁻³
size of the total moment: 2.1 μB/f.u.

---

# 4
The following is a DFT calculation (PBE) of a geometry-optimized Cd2CoW structure.

abc: 2.777 2.777 8.698
angles: 90.00 90.00 90.00
Element x y z (fractional)
Cd: 0.000 0.000 0.233
Cd: 0.000 0.000 0.767
Co: 0.500 0.500 0.000
W: 0.500 0.500 0.500

Results
energy relative to the lowest polymorph listed for this composition: 119.4 kJ/mol of formula units
calculated formation energy: 54 kJ/mol of atoms
E: -4.9167 eV/atom
theoretical density: 11.57 g cm⁻³
size of the total moment: 1.8 μB/f.u.

---

# 5
The following is a DFT calculation (PBE) of a geometry-optimized Cd2CoW structure.

abc: 9.638 9.638 9.638
angles: 17.13 17.13 17.13
Element x y z (fractional)
Cd: 0.245 0.245 0.245
Cd: 0.755 0.755 0.755
Co: 0.500 0.500 0.500
W: 0.000 0.000 0.000

Results
energy relative to the lowest polymorph listed for this composition: 129.4 kJ/mol of formula units
calculated formation energy: 56 kJ/mol of atoms
E: -4.8908 eV/atom
theoretical density: 11.46 g cm⁻³
size of the total moment: 1.7 μB/f.u.

---

# 6
The following is a DFT calculation (PBE) of a geometry-optimized Cd2CoW structure.

abc: 5.153 5.153 5.153
angles: 134.91 134.91 65.66
Element x y z (fractional)
Cd: 0.250 0.750 0.500
Cd: 0.750 0.250 0.500
Co: 0.000 0.000 0.000
W: 0.500 0.500 0.000

Results
energy relative to the lowest polymorph listed for this composition: 198.6 kJ/mol of formula units
calculated formation energy: 73 kJ/mol of atoms
E: -4.7114 eV/atom
theoretical density: 11.49 g cm⁻³
size of the total moment: 2.8 μB/f.u.

---

# 7
The following is a DFT calculation (PBE) of a geometry-optimized CdCoW2 structure.

abc: 5.150 5.150 4.959
angles: 110.29 110.29 30.97
Element x y z (fractional)
Cd: 0.000 0.000 0.000
Co: 0.255 0.255 0.886
W: 0.560 0.560 0.544
W: 0.787 0.787 0.353

Results
calculated formation energy: 50 kJ/mol of atoms
E: -7.9614 eV/atom
theoretical density: 14.18 g cm⁻³
size of the total moment: 0.0 μB/f.u.

---

# 8
The following is a DFT calculation (PBE) of a geometry-optimized CdCoW2 structure.

abc: 5.108 5.108 5.108
angles: 136.62 136.62 63.02
Element x y z (fractional)
Cd: 0.000 0.000 0.000
Co: 0.500 0.500 0.000
W: 0.250 0.750 0.500
W: 0.750 0.250 0.500

Results
calculated formation energy: 53 kJ/mol of atoms
E: -7.9294 eV/atom
theoretical density: 14.42 g cm⁻³
size of the total moment: 0.7 μB/f.u.

---

# 9
The following is a DFT calculation (PBE) of a geometry-optimized Cd2CoW structure.

abc: 5.759 5.759 5.759
angles: 151.86 129.59 58.73
Element x y z (fractional)
Cd: 0.000 0.000 0.000
Cd: 0.715 0.215 0.500
Co: 0.243 0.743 0.500
W: 0.440 0.440 0.000

Results
energy relative to the lowest polymorph listed for this composition: 117.2 kJ/mol of formula units
calculated formation energy: 53 kJ/mol of atoms
E: -4.9225 eV/atom
theoretical density: 11.26 g cm⁻³
size of the total moment: 0.0 μB/f.u.

---

# 10
The following is a DFT calculation (PBE) of a geometry-optimized Cd2CoW structure.

abc: 4.995 4.995 2.771
angles: 90.00 90.00 90.00
Element x y z (fractional)
Cd: 0.000 0.500 0.000
Cd: 0.500 0.000 0.000
Co: 0.000 0.000 0.500
W: 0.500 0.500 0.500

Results
energy relative to the lowest polymorph listed for this composition: 215.4 kJ/mol of formula units
calculated formation energy: 78 kJ/mol of atoms
E: -4.6680 eV/atom
theoretical density: 11.23 g cm⁻³
size of the total moment: 1.6 μB/f.u.

---

# 11
The following is a DFT calculation (PBE) of a geometry-optimized Cd2CoW structure.

abc: 5.858 5.858 5.858
angles: 101.32 101.32 127.41
Element x y z (fractional)
Cd: 0.093 0.125 0.468
Cd: 0.375 0.907 0.032
Cd: 0.657 0.625 0.532
Cd: 0.875 0.343 0.968
Co: 0.000 0.000 0.000
Co: 0.750 0.250 0.500
W: 0.250 0.750 0.500
W: 0.500 0.500 0.000

Results
energy relative to the lowest polymorph listed for this composition: 336.1 kJ/mol of formula units
calculated formation energy: 108 kJ/mol of atoms
E: -4.3553 eV/atom
theoretical density: 10.85 g cm⁻³
size of the total moment: 0.0 μB/f.u.

---

# 12
The following is a DFT calculation (PBE) of a geometry-optimized Cd2CoW structure.

abc: 3.934 3.934 4.340
angles: 90.00 90.00 90.00
Element x y z (fractional)
Cd: 0.000 0.500 0.000
Cd: 0.500 0.000 0.000
Co: 0.000 0.000 0.500
W: 0.500 0.500 0.500

Results
energy relative to the lowest polymorph listed for this composition: 171.9 kJ/mol of formula units
calculated formation energy: 67 kJ/mol of atoms
E: -4.7808 eV/atom
theoretical density: 11.56 g cm⁻³
size of the total moment: 2.2 μB/f.u.

---

# 13
The following is a DFT calculation (PBE) of a geometry-optimized CdCoW2 structure.

abc: 5.244 5.244 2.699
angles: 97.12 97.12 118.81
Element x y z (fractional)
Cd: 0.000 0.000 0.000
Co: 0.500 0.500 0.000
W: 0.000 0.500 0.500
W: 0.500 0.000 0.500

Results
calculated formation energy: 57 kJ/mol of atoms
E: -7.8876 eV/atom
theoretical density: 14.19 g cm⁻³
size of the total moment: 1.5 μB/f.u.

---

# 14
The following is a DFT calculation (PBE) of a geometry-optimized CdCoW2 structure.

abc: 2.755 2.755 8.227
angles: 90.00 90.00 90.00
Element x y z (fractional)
Cd: 0.000 0.000 0.000
Co: 0.500 0.500 0.244
W: 0.000 0.000 0.441
W: 0.500 0.500 0.713

Results
calculated formation energy: 30 kJ/mol of atoms
E: -8.1719 eV/atom
theoretical density: 14.34 g cm⁻³
size of the total moment: 0.0 μB/f.u.

---

# 15
The following is a DFT calculation (PBE) of a geometry-optimized CdCo2W2 structure.

abc: 7.309 7.309 2.733
angles: 90.00 90.00 90.00
Element x y z (fractional)
Cd: 0.000 0.000 0.000
Cd: 0.500 0.500 0.000
Co: 0.125 0.375 0.000
Co: 0.375 0.875 0.000
Co: 0.625 0.125 0.000
Co: 0.875 0.625 0.000
W: 0.165 0.665 0.500
W: 0.335 0.165 0.500
W: 0.665 0.835 0.500
W: 0.835 0.335 0.500

Results
calculated formation energy: 26 kJ/mol of atoms
E: -7.9388 eV/atom
theoretical density: 13.60 g cm⁻³
size of the total moment: 0.0 μB/f.u.

---

# 16
The following is a DFT calculation (PBE) of a geometry-optimized CdCoW2 structure.

abc: 3.236 3.236 6.167
angles: 90.00 90.00 90.00
Element x y z (fractional)
Cd: 0.000 0.000 0.000
Co: 0.000 0.000 0.500
W: 0.500 0.500 0.303
W: 0.500 0.500 0.697

Results
calculated formation energy: 57 kJ/mol of atoms
E: -7.8942 eV/atom
theoretical density: 13.86 g cm⁻³
size of the total moment: 1.4 μB/f.u.

---

# 17
The following is a DFT calculation (PBE) of a geometry-optimized Cd2CoW structure.

abc: 4.565 4.565 4.565
angles: 60.00 60.00 60.00
Element x y z (fractional)
Cd: 0.250 0.250 0.250
Cd: 0.750 0.750 0.750
Co: 0.000 0.000 0.000
W: 0.500 0.500 0.500

Results
energy relative to the lowest polymorph listed for this composition: 263.4 kJ/mol of formula units
calculated formation energy: 90 kJ/mol of atoms
E: -4.5436 eV/atom
theoretical density: 11.54 g cm⁻³
size of the total moment: 1.7 μB/f.u.

---

# 18
The following is a DFT calculation (PBE) of a geometry-optimized CdCoW2 structure.

abc: 9.463 9.463 9.463
angles: 17.10 17.10 17.10
Element x y z (fractional)
Cd: 0.000 0.000 0.000
Co: 0.749 0.749 0.749
W: 0.240 0.240 0.240
W: 0.487 0.487 0.487

Results
calculated formation energy: 41 kJ/mol of atoms
E: -8.0570 eV/atom
theoretical density: 14.01 g cm⁻³
size of the total moment: 1.1 μB/f.u.

---

# 19
The following is a DFT calculation (PBE) of a geometry-optimized Cd2CoW structure.

abc: 2.742 4.632 5.399
angles: 90.00 101.96 90.00
Element x y z (fractional)
Cd: 0.173 0.000 0.259
Cd: 0.827 0.000 0.741
Co: 0.000 0.500 0.500
W: 0.500 0.500 0.000

Results
energy relative to the lowest polymorph listed for this composition: 149.6 kJ/mol of formula units
calculated formation energy: 61 kJ/mol of atoms
E: -4.8384 eV/atom
theoretical density: 11.58 g cm⁻³
size of the total moment: 1.7 μB/f.u.

---

# 20
The following is a DFT calculation (PBE) of a geometry-optimized CdCoW2 structure.

abc: 5.050 5.050 2.710
angles: 90.00 90.00 116.08
Element x y z (fractional)
Cd: 0.000 0.000 0.000
Co: 0.500 0.500 0.000
W: 0.000 0.500 0.500
W: 0.500 0.000 0.500

Results
calculated formation energy: 58 kJ/mol of atoms
E: -7.8842 eV/atom
theoretical density: 14.42 g cm⁻³
size of the total moment: 0.0 μB/f.u.

---

# 21
The following is a DFT calculation (PBE) of a geometry-optimized Cd2CoW structure.

abc: 5.668 5.668 4.718
angles: 114.36 114.36 28.72
Element x y z (fractional)
Cd: 0.225 0.225 0.225
Cd: 0.775 0.775 0.775
Co: 0.500 0.500 0.000
W: 0.000 0.000 0.500

Results
energy relative to the lowest polymorph listed for this composition: 139.3 kJ/mol of formula units
calculated formation energy: 59 kJ/mol of atoms
E: -4.8651 eV/atom
theoretical density: 11.78 g cm⁻³
size of the total moment: 0.0 μB/f.u.

---

# 22
The following is a DFT calculation (PBE) of a geometry-optimized CdCoW2 structure.

abc: 5.385 5.385 4.411
angles: 114.09 114.09 32.78
Element x y z (fractional)
Cd: 0.000 0.000 0.000
Co: 0.500 0.500 0.500
W: 0.231 0.231 0.730
W: 0.769 0.769 0.270

Results
calculated formation energy: 45 kJ/mol of atoms
E: -8.0150 eV/atom
theoretical density: 14.28 g cm⁻³
size of the total moment: 1.0 μB/f.u.

---

# 23
The following is a DFT calculation (PBE) of a geometry-optimized Cd3CoW structure.

abc: 5.281 5.281 5.281
angles: 90.00 90.00 90.00
Element x y z (fractional)
Cd: 0.000 0.000 0.500
Cd: 0.000 0.500 0.000
Cd: 0.500 0.000 0.000
Co: 0.500 0.500 0.500
W: 0.000 0.000 0.000

Results
energy relative to the lowest polymorph listed for this composition: 164.0 kJ/mol of formula units
calculated formation energy: 180 kJ/mol of atoms
E: -2.6949 eV/atom
theoretical density: 6.54 g cm⁻³
size of the total moment: 3.3 μB/f.u.

---

# 24
The following is a DFT calculation (PBE) of a geometry-optimized Cd3CoW structure.

abc: 4.746 4.746 4.746
angles: 90.00 90.00 90.00
Element x y z (fractional)
Cd: 0.000 0.000 0.500
Cd: 0.000 0.500 0.000
Cd: 0.500 0.000 0.000
Co: 0.000 0.000 0.000
W: 0.500 0.500 0.500

Results
energy relative to the lowest polymorph listed for this composition: 0.0 kJ/mol of formula units
calculated formation energy: 147 kJ/mol of atoms
E: -3.0349 eV/atom
theoretical density: 9.01 g cm⁻³
size of the total moment: 0.9 μB/f.u.

---

# 25
The following is a DFT calculation (PBE) of a geometry-optimized CdCoW2 structure.

abc: 2.755 2.755 8.424
angles: 90.00 90.00 101.35
Element x y z (fractional)
Cd: 0.000 0.000 0.000
Co: 0.500 0.500 0.247
W: 0.000 0.000 0.450
W: 0.500 0.500 0.712

Results
calculated formation energy: 29 kJ/mol of atoms
E: -8.1810 eV/atom
theoretical density: 14.28 g cm⁻³
size of the total moment: 0.0 μB/f.u.

---

# 26
The following is a DFT calculation (PBE) of a geometry-optimized CdCoW2 structure.

abc: 4.466 4.466 4.466
angles: 60.00 60.00 60.00
Element x y z (fractional)
Cd: 0.000 0.000 0.000
Co: 0.250 0.250 0.250
W: 0.500 0.500 0.500
W: 0.750 0.750 0.750

Results
calculated formation energy: 61 kJ/mol of atoms
E: -7.8502 eV/atom
theoretical density: 14.21 g cm⁻³
size of the total moment: 0.5 μB/f.u.

---

# 27
The following is a DFT calculation (PBE) of a geometry-optimized CdCoW2 structure.

abc: 9.500 9.500 9.500
angles: 16.87 16.87 16.87
Element x y z (fractional)
Cd: 0.000 0.000 0.000
Co: 0.500 0.500 0.500
W: 0.240 0.240 0.240
W: 0.760 0.760 0.760

Results
calculated formation energy: 46 kJ/mol of atoms
E: -8.0075 eV/atom
theoretical density: 14.21 g cm⁻³
size of the total moment: 0.5 μB/f.u.

---

# 28
The following is a DFT calculation (PBE) of a geometry-optimized CdCoW2 structure.

abc: 4.808 4.808 4.808
angles: 130.64 130.64 72.38
Element x y z (fractional)
Cd: 0.000 0.000 0.000
Co: 0.250 0.750 0.500
W: 0.500 0.500 0.000
W: 0.750 0.250 0.500

Results
calculated formation energy: 60 kJ/mol of atoms
E: -7.8635 eV/atom
theoretical density: 14.31 g cm⁻³
size of the total moment: 1.1 μB/f.u.

---

# 29
The following is a DFT calculation (PBE) of a geometry-optimized Cd2CoW structure.

abc: 2.947 4.659 4.873
angles: 90.00 90.00 90.00
Element x y z (fractional)
Cd: 0.000 0.000 0.000
Cd: 0.500 0.500 0.000
Co: 0.000 0.500 0.500
W: 0.500 0.000 0.500

Results
energy relative to the lowest polymorph listed for this composition: 161.7 kJ/mol of formula units
calculated formation energy: 64 kJ/mol of atoms
E: -4.8070 eV/atom
theoretical density: 11.61 g cm⁻³
size of the total moment: 1.0 μB/f.u.

---

# 30
The following is a DFT calculation (PBE) of a geometry-optimized Cd2CoW structure.

abc: 4.733 4.733 4.733
angles: 126.62 126.62 78.87
Element x y z (fractional)
Cd: 0.000 0.000 0.000
Cd: 0.750 0.250 0.500
Co: 0.250 0.750 0.500
W: 0.500 0.500 0.000

Results
energy relative to the lowest polymorph listed for this composition: 183.5 kJ/mol of formula units
calculated formation energy: 70 kJ/mol of atoms
E: -4.7506 eV/atom
theoretical density: 11.75 g cm⁻³
size of the total moment: 0.8 μB/f.u.